#1
A relaxed structure of TlHg2Os. Source: Alexandria, functional PBEsol. Values from VASP.

## Properties
density of states at the Fermi level = 0.710 states/eV per atom

Cell and atoms, written as Quantum ESPRESSO input:
```
&SYSTEM
  ibrav = 0, nat = 4, ntyp = 3
/
ATOMIC_SPECIES
Tl 204.38 Tl.upf
Hg 200.59 Hg.upf
Os 190.23 Os.upf
CELL_PARAMETERS angstrom
2.952 0.000 0.000
0.000 5.006 0.000
0.000 0.000 5.306
ATOMIC_POSITIONS crystal
Tl 0.000 0.000 0.000
Hg 0.000 0.500 0.500
Hg 0.500 0.000 0.500
Os 0.500 0.500 0.000
```


#2
A relaxed structure of TlHg2Os. Source: Alexandria, functional PBEsol. Values from VASP.

## Properties
density of states at the Fermi level = 0.712 states/eV per atom

Cell and atoms, written as Quantum ESPRESSO input:
```
&SYSTEM
  ibrav = 0, nat = 4, ntyp = 3
/
ATOMIC_SPECIES
Tl 204.38 Tl.upf
Hg 200.59 Hg.upf
Os 190.23 Os.upf
CELL_PARAMETERS angstrom
2.914 0.000 0.000
0.000 5.061 0.000
-1.216 0.000 5.429
ATOMIC_POSITIONS crystal
Tl 0.000 0.000 0.000
Hg 0.353 0.500 0.733
Hg 0.647 0.500 0.267
Os 0.000 0.000 0.500
```


Name the most stable of them. #2.


#1
A relaxed structure of HgP3. Source: Alexandria, functional PBEsol. Values from VASP.

## Properties
density of states at the Fermi level = 0.449 states/eV per atom

Cell and atoms, written as Quantum ESPRESSO input:
```
&SYSTEM
  ibrav = 0, nat = 8, ntyp = 2
/
ATOMIC_SPECIES
Hg 200.59 Hg.upf
P 30.97 P.upf
CELL_PARAMETERS angstrom
5.152 0.000 0.000
0.000 5.152 0.000
0.000 0.000 5.152
ATOMIC_POSITIONS crystal
Hg 0.000 0.000 0.000
Hg 0.500 0.500 0.500
P 0.000 0.250 0.500
P 0.000 0.750 0.500
P 0.250 0.500 0.000
P 0.500 0.000 0.250
P 0.500 0.000 0.750
P 0.750 0.500 0.000
```


#2
A relaxed structure of HgP3. Source: Alexandria, functional PBEsol. Values from VASP.

## Properties
density of states at the Fermi level = 0.736 states/eV per atom

Cell and atoms, written as Quantum ESPRESSO input:
```
&SYSTEM
  ibrav = 0, nat = 4, ntyp = 2
/
ATOMIC_SPECIES
Hg 200.59 Hg.upf
P 30.97 P.upf
CELL_PARAMETERS angstrom
4.090 0.000 0.000
0.000 4.090 0.000
0.000 0.000 4.090
ATOMIC_POSITIONS crystal
Hg 0.000 0.000 0.000
P 0.000 0.500 0.500
P 0.500 0.000 0.500
P 0.500 0.500 0.000
```


#3
A relaxed structure of HgP3. Source: Alexandria, functional PBEsol. Values from VASP.

## Properties
density of states at the Fermi level = 0.526 states/eV per atom

Cell and atoms, written as Quantum ESPRESSO input:
```
&SYSTEM
  ibrav = 0, nat = 4, ntyp = 2
/
ATOMIC_SPECIES
Hg 200.59 Hg.upf
P 30.97 P.upf
CELL_PARAMETERS angstrom
5.039 0.000 0.000
0.000 5.039 0.000
0.000 0.000 2.683
ATOMIC_POSITIONS crystal
Hg 0.000 0.000 0.000
P 0.000 0.500 0.500
P 0.500 0.000 0.500
P 0.500 0.500 0.000
```


Name the most stable of them. #3.


#1
A relaxed structure of HgPPb. Source: Alexandria, functional PBEsol. Values from VASP.

## Properties
density of states at the Fermi level = 0.857 states/eV per atom

Cell and atoms, written as Quantum ESPRESSO input:
```
&SYSTEM
  ibrav = 0, nat = 3, ntyp = 3
/
ATOMIC_SPECIES
Hg 200.59 Hg.upf
P 30.97 P.upf
Pb 207.20 Pb.upf
CELL_PARAMETERS angstrom
0.000 3.436 3.436
3.436 0.000 3.436
3.436 3.436 0.000
ATOMIC_POSITIONS crystal
Hg 0.000 0.000 0.000
P 0.500 0.500 0.500
Pb 0.750 0.750 0.750
```


#2
A relaxed structure of HgPPb. Source: Alexandria, functional PBEsol. Values from VASP.

## Properties
density of states at the Fermi level = 0.389 states/eV per atom

Cell and atoms, written as Quantum ESPRESSO input:
```
&SYSTEM
  ibrav = 0, nat = 3, ntyp = 3
/
ATOMIC_SPECIES
Hg 200.59 Hg.upf
P 30.97 P.upf
Pb 207.20 Pb.upf
CELL_PARAMETERS angstrom
4.057 0.000 0.000
-2.029 3.514 0.000
0.000 0.000 5.032
ATOMIC_POSITIONS crystal
Hg 0.000 0.000 0.000
P 0.333 0.667 0.732
Pb 0.667 0.333 0.422
```


Name the most stable of them. #2.


#1
A relaxed structure of Re2HgP. Source: Alexandria, functional PBEsol. Values from VASP.

## Properties
density of states at the Fermi level = 0.817 states/eV per atom

Cell and atoms, written as Quantum ESPRESSO input:
```
&SYSTEM
  ibrav = 0, nat = 4, ntyp = 3
/
ATOMIC_SPECIES
Re 186.21 Re.upf
Hg 200.59 Hg.upf
P 30.97 P.upf
CELL_PARAMETERS angstrom
1.425 0.823 8.600
-1.425 0.823 8.600
0.000 -1.645 8.600
ATOMIC_POSITIONS crystal
Re 0.237 0.237 0.237
Re 0.763 0.763 0.763
Hg 0.000 0.000 0.000
P 0.500 0.500 0.500
```


#2
A relaxed structure of Re2HgP. Source: Alexandria, functional PBEsol. Values from VASP.

## Properties
density of states at the Fermi level = 0.444 states/eV per atom

Cell and atoms, written as Quantum ESPRESSO input:
```
&SYSTEM
  ibrav = 0, nat = 4, ntyp = 3
/
ATOMIC_SPECIES
Re 186.21 Re.upf
Hg 200.59 Hg.upf
P 30.97 P.upf
CELL_PARAMETERS angstrom
1.440 0.832 8.876
-1.440 0.832 8.876
0.000 -1.663 8.876
ATOMIC_POSITIONS crystal
Re 0.000 0.000 0.000
Re 0.255 0.255 0.255
Hg 0.496 0.496 0.496
P 0.733 0.733 0.733
```


Name the most stable of them. #2.


#1
A relaxed structure of HgSb2P. Source: Alexandria, functional PBEsol. Values from VASP.

## Properties
density of states at the Fermi level = 0.499 states/eV per atom

Cell and atoms, written as Quantum ESPRESSO input:
```
&SYSTEM
  ibrav = 0, nat = 4, ntyp = 3
/
ATOMIC_SPECIES
Hg 200.59 Hg.upf
Sb 121.76 Sb.upf
P 30.97 P.upf
CELL_PARAMETERS angstrom
2.967 0.000 0.000
0.000 3.876 0.000
-0.052 0.000 8.422
ATOMIC_POSITIONS crystal
Hg 0.000 0.000 0.000
Sb 0.006 0.500 0.729
Sb 0.994 0.500 0.271
P 0.000 0.000 0.500
```


#2
A relaxed structure of HgSb2P. Source: Alexandria, functional PBEsol. Values from VASP.

## Properties
density of states at the Fermi level = 0.557 states/eV per atom

Cell and atoms, written as Quantum ESPRESSO input:
```
&SYSTEM
  ibrav = 0, nat = 4, ntyp = 3
/
ATOMIC_SPECIES
Hg 200.59 Hg.upf
Sb 121.76 Sb.upf
P 30.97 P.upf
CELL_PARAMETERS angstrom
1.833 -2.700 0.000
1.833 2.700 0.000
0.000 0.000 9.282
ATOMIC_POSITIONS crystal
Hg 0.000 0.000 0.000
Sb 0.000 0.000 0.435
Sb 0.500 0.500 0.734
P 0.500 0.500 0.227
```


Name the most stable of them. #1.


#1
A relaxed structure of HgTeP2. Source: Alexandria, functional PBEsol. Values from VASP.

## Properties
density of states at the Fermi level = 0.397 states/eV per atom

Cell and atoms, written as Quantum ESPRESSO input:
```
&SYSTEM
  ibrav = 0, nat = 4, ntyp = 3
/
ATOMIC_SPECIES
Hg 200.59 Hg.upf
Te 127.60 Te.upf
P 30.97 P.upf
CELL_PARAMETERS angstrom
1.648 0.952 9.244
-1.648 0.952 9.244
0.000 -1.903 9.244
ATOMIC_POSITIONS crystal
Hg 0.000 0.000 0.000
Te 0.773 0.773 0.773
P 0.241 0.241 0.241
P 0.531 0.531 0.531
```


#2
A relaxed structure of HgTeP2. Source: Alexandria, functional PBEsol. Values from VASP.

## Properties
density of states at the Fermi level = 0.395 states/eV per atom

Cell and atoms, written as Quantum ESPRESSO input:
```
&SYSTEM
  ibrav = 0, nat = 4, ntyp = 3
/
ATOMIC_SPECIES
Hg 200.59 Hg.upf
Te 127.60 Te.upf
P 30.97 P.upf
CELL_PARAMETERS angstrom
-1.591 2.052 6.784
1.591 -2.052 6.784
1.591 2.052 -6.784
ATOMIC_POSITIONS crystal
Hg 0.000 0.000 0.000
Te 0.654 0.154 0.500
P 0.284 0.784 0.500
P 0.393 0.393 0.000
```


#3
A relaxed structure of HgTeP2. Source: Alexandria, functional PBEsol. Values from VASP.

## Properties
density of states at the Fermi level = 0.783 states/eV per atom

Cell and atoms, written as Quantum ESPRESSO input:
```
&SYSTEM
  ibrav = 0, nat = 4, ntyp = 3
/
ATOMIC_SPECIES
Hg 200.59 Hg.upf
Te 127.60 Te.upf
P 30.97 P.upf
CELL_PARAMETERS angstrom
-1.894 1.894 5.993
1.894 -1.894 5.993
1.894 1.894 -5.993
ATOMIC_POSITIONS crystal
Hg 0.000 0.000 0.000
Te 0.250 0.750 0.500
P 0.500 0.500 0.000
P 0.750 0.250 0.500
```


Name the most stable of them. #1.